No. 1
{
  "formula": "Ac3LaHg2",
  "functional": "PBE-GGA",
  "state": "relaxed",
  "de_polymorph_ev_per_atom": 0.000,
  "delta_e_f_ev_per_atom": -0.301,
  "lattice_angstrom": [[5.564, 0.000, 0.000], [0.000, 10.319, 0.000], [0.000, 0.000, 7.519]],
  "species": ["Ac", "Ac", "Ac", "Ac", "Ac", "Ac", "La", "La", "Hg", "Hg", "Hg", "Hg"],
  "frac_coords": [[0.000, 0.062, 0.000], [0.000, 0.332, 0.351], [0.000, 0.668, 0.851], [0.000, 0.938, 0.500], [0.500, 0.177, 0.675], [0.500, 0.823, 0.175], [0.500, 0.437, 0.028], [0.500, 0.563, 0.528], [0.000, 0.354, 0.797], [0.000, 0.646, 0.297], [0.500, 0.150, 0.233], [0.500, 0.850, 0.733]]
}



No. 2
{
  "formula": "Ac4La5Hg",
  "functional": "PBE-GGA",
  "state": "relaxed",
  "delta_e_f_ev_per_atom": -0.093,
  "lattice_angstrom": [[3.879, 0.000, 0.000], [0.000, 3.879, 0.000], [0.000, 0.000, 25.496]],
  "species": ["Ac", "Ac", "Ac", "Ac", "La", "La", "La", "La", "La", "Hg"],
  "frac_coords": [[0.000, 0.000, 0.106], [0.000, 0.000, 0.318], [0.000, 0.000, 0.682], [0.000, 0.000, 0.894], [0.500, 0.500, 0.000], [0.500, 0.500, 0.213], [0.500, 0.500, 0.422], [0.500, 0.500, 0.578], [0.500, 0.500, 0.787], [0.000, 0.000, 0.500]]
}



No. 3
{
  "formula": "Ac9La4Hg11",
  "functional": "PBE-GGA",
  "state": "relaxed",
  "delta_e_f_ev_per_atom": -0.389,
  "lattice_angstrom": [[8.419, -12.010, 0.000], [8.419, 12.010, 0.000], [0.000, 0.000, 3.878]],
  "species": ["Ac", "Ac", "Ac", "Ac", "Ac", "Ac", "Ac", "Ac", "Ac", "La", "La", "La", "La", "Hg", "Hg", "Hg", "Hg", "Hg", "Hg", "Hg", "Hg", "Hg", "Hg", "Hg"],
  "frac_coords": [[0.000, 0.000, 0.000], [0.122, 0.645, 0.000], [0.293, 0.466, 0.000], [0.355, 0.878, 0.000], [0.466, 0.293, 0.000], [0.534, 0.707, 0.000], [0.645, 0.122, 0.000], [0.707, 0.534, 0.000], [0.878, 0.355, 0.000], [0.065, 0.247, 0.000], [0.247, 0.065, 0.000], [0.753, 0.935, 0.000], [0.935, 0.753, 0.000], [0.088, 0.442, 0.500], [0.132, 0.868, 0.500], [0.251, 0.251, 0.500], [0.327, 0.673, 0.500], [0.442, 0.088, 0.500], [0.500, 0.500, 0.500], [0.558, 0.912, 0.500], [0.673, 0.327, 0.500], [0.749, 0.749, 0.500], [0.868, 0.132, 0.500], [0.912, 0.558, 0.500]]
}



No. 4
{
  "formula": "Ac2La3Hg4",
  "functional": "PBE-GGA",
  "state": "relaxed",
  "delta_e_f_ev_per_atom": -0.411,
  "lattice_angstrom": [[9.205, 0.000, 0.000], [0.000, 8.290, 0.000], [-2.895, 0.000, 7.847]],
  "species": ["Ac", "Ac", "Ac", "Ac", "La", "La", "La", "La", "La", "La", "Hg", "Hg", "Hg", "Hg", "Hg", "Hg", "Hg", "Hg"],
  "frac_coords": [[0.190, 0.176, 0.059], [0.190, 0.324, 0.559], [0.810, 0.676, 0.441], [0.810, 0.824, 0.941], [0.241, 0.657, 0.234], [0.241, 0.843, 0.734], [0.500, 0.000, 0.500], [0.500, 0.500, 0.000], [0.759, 0.157, 0.266], [0.759, 0.343, 0.766], [0.075, 0.542, 0.844], [0.075, 0.958, 0.344], [0.499, 0.131, 0.870], [0.499, 0.369, 0.370], [0.501, 0.631, 0.630], [0.501, 0.869, 0.130], [0.925, 0.042, 0.656], [0.925, 0.458, 0.156]]
}



No. 5
{
  "formula": "AcLaHg2",
  "functional": "PBE-GGA",
  "state": "relaxed",
  "delta_e_f_ev_per_atom": -0.343,
  "lattice_angstrom": [[2.053, 1.185, 9.465], [-2.053, 1.185, 9.465], [0.000, -2.371, 9.465]],
  "species": ["Ac", "La", "Hg", "Hg"],
  "frac_coords": [[0.000, 0.000, 0.000], [0.834, 0.834, 0.834], [0.247, 0.247, 0.247], [0.420, 0.420, 0.420]]
}



No. 6
{
  "formula": "Ac4LaHg3",
  "functional": "PBE-GGA",
  "state": "relaxed",
  "delta_e_f_ev_per_atom": -0.265,
  "lattice_angstrom": [[11.264, 0.000, 0.000], [0.000, 8.769, 0.000], [0.000, 0.000, 5.630]],
  "species": ["Ac", "Ac", "Ac", "Ac", "Ac", "Ac", "Ac", "Ac", "La", "La", "Hg", "Hg", "Hg", "Hg", "Hg", "Hg"],
  "frac_coords": [[0.000, 0.231, 0.000], [0.000, 0.769, 0.000], [0.250, 0.231, 0.499], [0.250, 0.769, 0.499], [0.500, 0.231, 0.000], [0.500, 0.769, 0.000], [0.750, 0.231, 0.501], [0.750, 0.769, 0.501], [0.000, 0.500, 0.500], [0.500, 0.500, 0.500], [0.000, 0.000, 0.500], [0.250, 0.000, 0.999], [0.250, 0.500, 0.998], [0.500, 0.000, 0.500], [0.750, 0.000, 0.001], [0.750, 0.500, 0.002]]
}



No. 7
{
  "formula": "AcLa5Hg",
  "functional": "PBE-GGA",
  "state": "relaxed",
  "delta_e_f_ev_per_atom": 0.009,
  "lattice_angstrom": [[7.332, -3.470, 0.000], [7.332, 3.470, 0.000], [-6.898, 0.000, 9.941]],
  "species": ["Ac", "Ac", "La", "La", "La", "La", "La", "La", "La", "La", "La", "La", "Hg", "Hg"],
  "frac_coords": [[0.011, 0.989, 0.750], [0.989, 0.011, 0.250], [0.042, 0.546, 0.877], [0.194, 0.669, 0.446], [0.331, 0.806, 0.054], [0.454, 0.958, 0.623], [0.495, 0.505, 0.750], [0.505, 0.495, 0.250], [0.546, 0.042, 0.377], [0.669, 0.194, 0.946], [0.806, 0.331, 0.554], [0.958, 0.454, 0.123], [0.000, 0.500, 0.500], [0.500, 0.000, 0.000]]
}



No. 8
{
  "formula": "Ac3La2Hg",
  "functional": "PBE-GGA",
  "state": "relaxed",
  "delta_e_f_ev_per_atom": -0.146,
  "lattice_angstrom": [[3.026, -9.475, 0.000], [3.026, 9.475, 0.000], [0.000, 0.000, 4.017]],
  "species": ["Ac", "Ac", "Ac", "La", "La", "Hg"],
  "frac_coords": [[0.000, 0.000, 0.000], [0.185, 0.815, 0.500], [0.815, 0.185, 0.500], [0.361, 0.639, 0.000], [0.639, 0.361, 0.000], [0.500, 0.500, 0.500]]
}



No. 9
{
  "formula": "AcLaHg4",
  "functional": "PBE-GGA",
  "state": "relaxed",
  "de_polymorph_ev_per_atom": 0.134,
  "delta_e_f_ev_per_atom": -0.343,
  "lattice_angstrom": [[0.000, 4.362, 4.362], [4.362, 0.000, 4.362], [4.362, 4.362, 0.000]],
  "species": ["Ac", "La", "Hg", "Hg", "Hg", "Hg"],
  "frac_coords": [[0.000, 0.000, 0.000], [0.250, 0.250, 0.250], [0.126, 0.625, 0.625], [0.625, 0.126, 0.625], [0.625, 0.625, 0.126], [0.625, 0.625, 0.625]]
}



No. 10
{
  "formula": "AcLaHg",
  "functional": "PBE-GGA",
  "state": "relaxed",
  "de_polymorph_ev_per_atom": 0.000,
  "delta_e_f_ev_per_atom": -0.313,
  "lattice_angstrom": [[-1.991, 1.991, 6.619], [1.991, -1.991, 6.619], [1.991, 1.991, -6.619]],
  "species": ["Ac", "La", "Hg"],
  "frac_coords": [[0.000, 0.000, 0.000], [0.297, 0.297, 0.000], [0.660, 0.660, 0.000]]
}



No. 11
{
  "formula": "AcLaHg6",
  "functional": "PBE-GGA",
  "state": "relaxed",
  "delta_e_f_ev_per_atom": -0.419,
  "lattice_angstrom": [[5.138, 0.000, 0.000], [0.000, 3.533, 6.063], [0.000, -3.533, 6.063]],
  "species": ["Ac", "La", "Hg", "Hg", "Hg", "Hg", "Hg", "Hg"],
  "frac_coords": [[0.000, 0.000, 0.000], [0.500, 0.682, 0.682], [0.000, 0.022, 0.492], [0.000, 0.492, 0.022], [0.000, 0.512, 0.512], [0.500, 0.179, 0.179], [0.500, 0.195, 0.646], [0.500, 0.646, 0.195]]
}



No. 12
{
  "formula": "Ac3LaHg2",
  "functional": "PBE-GGA",
  "state": "relaxed",
  "de_polymorph_ev_per_atom": 0.188,
  "delta_e_f_ev_per_atom": -0.113,
  "lattice_angstrom": [[-3.981, 7.703, 4.029], [3.981, -7.703, 4.029], [3.981, 7.703, -4.029]],
  "species": ["Ac", "Ac", "Ac", "Ac", "Ac", "Ac", "La", "La", "Hg", "Hg", "Hg", "Hg"],
  "frac_coords": [[0.022, 0.750, 0.272], [0.250, 0.250, 0.000], [0.478, 0.750, 0.728], [0.522, 0.250, 0.272], [0.750, 0.750, 0.000], [0.978, 0.250, 0.728], [0.000, 0.500, 0.500], [0.500, 0.000, 0.500], [0.138, 0.207, 0.345], [0.362, 0.707, 0.070], [0.638, 0.293, 0.930], [0.862, 0.793, 0.655]]
}



| no. | DFT total energy (eV/atom) |
| --- | --- |
| 1 | -3.277 |
| 2 | -4.230 |
| 3 | -2.889 |
| 4 | -3.101 |
| 5 | -2.753 |
| 6 | -3.048 |
| 7 | -4.141 |
| 8 | -3.893 |
| 9 | -2.050 |
| 10 | -3.425 |
| 11 | -1.775 |
| 12 | -3.089 |